DFT (GGA-PBE) results for crystalline Mg14FeW at its relaxed geometry.

Lattice parameters (Å, degrees): 6.189 6.189 9.864 90.00 90.00 120.00
Last column: magnetic moment on the atom in μB.
Positions (direct):
Mg 0.157 0.843 0.750  -0.01
Mg 0.686 0.843 0.250  -0.01
Mg 0.001 0.500 0.000  -0.01
Mg 0.686 0.843 0.750  -0.01
Mg 0.500 0.999 0.000  -0.01
Mg 0.667 0.333 0.251  0.00
Mg 0.500 0.500 0.000  -0.01
Mg 0.157 0.843 0.250  -0.01
Mg 0.003 0.501 0.500  0.00
Mg 0.499 0.997 0.500  0.00
Mg 0.499 0.501 0.500  0.00
Mg 0.667 0.333 0.749  0.00
Mg 0.157 0.314 0.250  -0.01
Mg 0.157 0.314 0.750  -0.01
W 0.000 0.000 0.500  -0.28
Fe 0.000 0.000 0.000  2.63

- ΔH_f (0 K): 4.7 kcal/mol of atoms